9
Lattice="-4.899 0.550 1.608 1.168 -7.825 -2.124 2.622 0.895 7.683" Properties=species:S:1:pos:R:3 comment="PBE Pm2Pr4Sm2Ho, optimized geometry" ef_ev_per_atom=0.016 pbc="T T T"
Pr 0.300 -3.055 1.959
Pr -1.721 -0.253 3.205
Pr -1.409 -3.325 5.207
Pr 0.612 -6.127 3.961
Ho 0.000 0.000 0.000
Pm -2.580 -5.300 2.315
Pm 1.471 -1.080 4.851
Sm 1.767 -4.145 6.801
Sm -2.876 -2.235 0.365